Entry 1:
Rb2Ba2SbO6: relaxed, PBE.

## Properties
Energy relative to the elements, uncorrected in eV/atom: -1.780
E in eV per atom: -5.385
Volume in Å³/f.u.: 248.5
Symmetry: No. 12

POSCAR file:
```
Rb2Ba2SbO6
1.0
3.315 -5.585 0.000
3.315 5.585 0.000
-1.826 0.000 6.711
Rb Ba Sb O
2 2 1 6
direct
0.155 0.845 0.000
0.845 0.155 0.000
0.339 0.661 0.500
0.661 0.339 0.500
0.000 0.000 0.500
0.041 0.307 0.667
0.203 0.203 0.323
0.307 0.041 0.667
0.693 0.959 0.333
0.797 0.797 0.677
0.959 0.693 0.333
```

Entry 2:
RbLaFe2: relaxed, PBE.

## Properties
ΔH_f (0 K) in meV per atom: 1133
E in eV per atom: -4.572
Volume in Å³/f.u.: 103.5
Symmetry: No. 225
Polymorph energy (0 for the lowest one) in meV per atom: 38.1

POSCAR file:
```
RbLaFe2
1.0
0.000 3.727 3.727
3.727 0.000 3.727
3.727 3.727 0.000
Rb La Fe
1 1 2
direct
0.000 0.000 0.000
0.500 0.500 0.500
0.250 0.250 0.250
0.750 0.750 0.750
```